The following is a DFT calculation (PBE-GGA) of a relaxed Ce2SbBr crystal.

energy relative to the elements, uncorrected	-830	meV per atom

Lattice parameters (Å, degrees): 4.2912 4.2912 28.7404 90.00 90.00 120.00
Space group R-3m (No. 166, hexagonal axes)
Symmetry-distinct sites (fractional):
1 Ce 0.0000 0.0000 0.1012
2 Sb 0.0000 0.0000 0.5000
3 Br 0.0000 0.0000 0.0000


The following is a DFT calculation (PBE-GGA) of a relaxed Ce2SbBr crystal.

energy relative to the elements, uncorrected	-1008	meV per atom

Lattice parameters (Å, degrees): 7.633 7.633 7.633 90.00 90.00 90.00
Space group Fm-3m (No. 225)
Symmetry-distinct sites (fractional):
1 Ce 0.250 0.250 0.250
2 Sb 0.000 0.000 0.000
3 Br 0.000 0.000 0.500


The following is a DFT calculation (PBE-GGA) of a relaxed Ce2SbBr crystal.

energy relative to the elements, uncorrected	-966	meV per atom

Lattice parameters (Å, degrees): 3.821 3.821 7.679 90.00 90.00 90.00
Space group P4/mmm (No. 123)
Symmetry-distinct sites (fractional):
1 Ce 0.000 0.000 0.236
2 Sb 0.500 0.500 0.000
3 Br 0.500 0.500 0.500